# VSiN2O

A relaxed structure of VSiN2O (GGA+U, Alexandria via LeMat-Bulk).

a = 3.8537 Å, b = 3.8537 Å, c = 3.7370 Å
α = 90.00°, β = 90.00°, γ = 90.00°
Closest atoms and distances in Å follow each position.
Fractional coordinates of all 5 atoms:
V  0.0000  0.0000  0.0000  2 O 1.87, 4 N 1.93
Si  0.5000  0.5000  0.5000  8 N 2.68, 4 O 2.73
N  0.0000  0.5000  0.0000  2 V 1.93
N  0.5000  0.0000  0.0000  2 V 1.93
O  0.0000  0.0000  0.5000  2 V 1.87

Calculated values
Density of states at the Fermi level, states/eV/f.u.: 3.2
Raw total energy, eV per atom: -6.525